The following is a PBE calculation of a relaxed structure of Ir5PdRh6, from Alexandria via LeMat-Bulk.

a b c (Å): 7.318 7.318 7.854
angles (deg): 90.00 90.00 120.00
Fractional coordinates of all 24 atoms:
Ir 0.000 0.377 0.250
Ir 0.000 0.623 0.750
Ir 0.333 0.667 0.000
Ir 0.333 0.667 0.500
Ir 0.377 0.000 0.250
Ir 0.377 0.377 0.750
Ir 0.623 0.000 0.750
Ir 0.623 0.623 0.250
Ir 0.667 0.333 0.000
Ir 0.667 0.333 0.500
Pd 0.000 0.000 0.250
Pd 0.000 0.000 0.750
Rh 0.000 0.305 0.585
Rh 0.000 0.305 0.915
Rh 0.000 0.695 0.085
Rh 0.000 0.695 0.415
Rh 0.305 0.000 0.585
Rh 0.305 0.000 0.915
Rh 0.305 0.305 0.085
Rh 0.305 0.305 0.415
Rh 0.695 0.000 0.085
Rh 0.695 0.000 0.415
Rh 0.695 0.695 0.585
Rh 0.695 0.695 0.915

SG: P6_3/mcm, No. 193
Mass density (Mg/m³): 15.36
Energy of formation (eV per atom): 0.389